# ZrWSe PBE relaxed
# Excess energy over the best structure of this formula in the dataset (eV per atom): 0.693
# DOS at the Fermi energy (states/eV per cell): 4.39
data_ZrWSe
_chemical_formula_sum 'Zr1 W1 Se1'
_symmetry_space_group_name_H-M 'P 3 m 1'
_symmetry_Int_Tables_number 156
_cell_length_a 4.4965
_cell_length_b 4.4965
_cell_length_c 3.1662
_cell_angle_alpha 90.00
_cell_angle_beta 90.00
_cell_angle_gamma 120.00
loop_
_symmetry_equiv_pos_as_xyz
'x,y,z'
'-y,x-y,z'
'-x+y,-x,z'
'-y,-x,z'
'-x+y,y,z'
'x,x-y,z'
loop_
_atom_site_label
_atom_site_fract_x
_atom_site_fract_y
_atom_site_fract_z
Zr1 0.0000 0.0000 0.0000
W1 0.6667 0.3333 0.4539
Se1 0.3333 0.6667 0.4588

***

# ZrW2Se PBE relaxed
# DOS at the Fermi energy (states/eV per cell): 5.67
data_ZrW2Se
_chemical_formula_sum 'Zr1 W2 Se1'
_symmetry_space_group_name_H-M 'P 4/m m m'
_symmetry_Int_Tables_number 123
_symmetry_space_group_name_Hall '-P 4 2'
_cell_length_a 4.5626
_cell_length_b 4.5626
_cell_length_c 3.3349
_cell_angle_alpha 90.00
_cell_angle_beta 90.00
_cell_angle_gamma 90.00
loop_
_atom_site_label
_atom_site_fract_x
_atom_site_fract_y
_atom_site_fract_z
Zr1 0.0000 0.0000 0.0000
W1 0.0000 0.5000 0.5000
Se1 0.5000 0.5000 0.0000

***

# ZrWSe2 PBE relaxed
# Excess energy over the best structure of this formula in the dataset (eV per atom): 0.288
# DOS at the Fermi energy (states/eV per cell): 6.20
data_ZrWSe2
_chemical_formula_sum 'Zr3 W3 Se6'
_symmetry_space_group_name_H-M 'R -3 m'
_symmetry_Int_Tables_number 166
_symmetry_space_group_name_Hall '-R 3 2"'
_cell_length_a 3.2071
_cell_length_b 3.2071
_cell_length_c 27.1384
_cell_angle_alpha 90.00
_cell_angle_beta 90.00
_cell_angle_gamma 120.00
loop_
_atom_site_label
_atom_site_fract_x
_atom_site_fract_y
_atom_site_fract_z
Zr1 0.0000 0.0000 0.0000
W1 0.0000 0.0000 0.5000
Se1 0.0000 0.0000 0.1008

***

For each record above, in turn, the calculated raw formation energy values are 0.135; 2.115; -0.535 eV per formula unit.
For each record above, in turn, the calculated total DFT energy (no corrections) values are -24.9; -35.8; -87.0 eV for the cell shown.